Arrangement one

Density functional theory data (PBE-GGA) for crystalline ThZrTe4 at its relaxed geometry.

The crystal system is monoclinic.

Lattice parameters (Å, degrees): 8.6798 6.7039 8.5321 90.00 118.76 90.00
With the nearest neighbours (Å) after each atom.
Positions (direct):
Th (0.0000, 0.0000, 0.0000)  6 Te 3.09-3.13
Th (0.0000, 0.5000, 0.5000)  6 Te 3.09-3.13
Zr (0.5000, 0.0000, 0.0000)  6 Te 2.87-3.02
Zr (0.5000, 0.5000, 0.5000)  6 Te 2.87-3.02
Te (0.1998, 0.2419, 0.3556)  1 Zr 2.87, 2 Th 3.09-3.13
Te (0.1998, 0.2581, 0.8556)  1 Zr 2.87, 2 Th 3.09-3.13
Te (0.3440, 0.7450, 0.1619)  2 Zr 2.91-3.02, 1 Th 3.13
Te (0.3440, 0.7550, 0.6619)  2 Zr 2.91-3.02, 1 Th 3.13
Te (0.6560, 0.2450, 0.3381)  2 Zr 2.91-3.02, 1 Th 3.13
Te (0.6560, 0.2550, 0.8381)  2 Zr 2.91-3.02, 1 Th 3.13
Te (0.8002, 0.7419, 0.1444)  1 Zr 2.87, 2 Th 3.09-3.13
Te (0.8002, 0.7581, 0.6444)  1 Zr 2.87, 2 Th 3.09-3.13

Arrangement two

Density functional theory data (PBE-GGA) for crystalline ThZrTe4 at its relaxed geometry.

The crystal system is monoclinic.

Lattice parameters (Å, degrees): 8.2901 8.2901 7.4433 116.03 116.03 29.75
With the nearest neighbours (Å) after each atom.
Positions (direct):
Th (0.0000, 0.0000, 0.0000)  6 Te 3.13
Zr (0.5000, 0.5000, 0.5000)  6 Te 2.94-2.96
Te (0.1213, 0.1213, 0.7686)  2 Zr 2.96, 1 Th 3.13
Te (0.3734, 0.3734, 0.6869)  1 Zr 2.94, 2 Th 3.13
Te (0.6266, 0.6266, 0.3131)  1 Zr 2.94, 2 Th 3.13
Te (0.8787, 0.8787, 0.2314)  2 Zr 2.96, 1 Th 3.13

arrangement two comes first in stability; the runner-up is 0.108 eV/atom higher.

Arrangement one

Density functional theory data (PBE-GGA) for crystalline Ti5Te at its relaxed geometry.

The crystal system is orthorhombic.

Lattice parameters (Å, degrees): 6.8983 6.8983 4.0097 90.00 90.00 146.07
With the nearest neighbours (Å) after each atom.
Positions (direct):
Ti (0.0000, 0.0000, 0.0000)  4 Te 2.84, 8 Ti 3.03
Ti (0.1721, 0.8279, 0.5000)  10 Ti 2.84-3.03, 2 Te 3.03
Ti (0.3282, 0.6718, 0.0000)  10 Ti 2.84-3.03, 2 Te 3.03
Ti (0.6718, 0.3282, 0.0000)  10 Ti 2.84-3.03, 2 Te 3.03
Ti (0.8279, 0.1721, 0.5000)  10 Ti 2.84-3.03, 2 Te 3.03
Te (0.5000, 0.5000, 0.5000)  12 Ti 2.84-3.03

Arrangement two

Density functional theory data (PBE-GGA) for crystalline Ti5Te at its relaxed geometry.

The crystal system is orthorhombic.

Lattice parameters (Å, degrees): 5.1592 5.1592 4.8251 90.00 90.00 124.00
With the nearest neighbours (Å) after each atom.
Positions (direct):
Ti (0.0000, 0.0000, 0.0000)  10 Ti 2.83-2.93
Ti (0.1625, 0.8375, 0.5000)  7 Ti 2.80-2.96, 3 Te 2.84-3.07
Ti (0.3194, 0.6806, 0.0000)  7 Ti 2.73-2.93, 2 Te 2.92
Ti (0.6806, 0.3194, 0.0000)  7 Ti 2.73-2.93, 2 Te 2.92
Ti (0.8375, 0.1625, 0.5000)  7 Ti 2.80-2.96, 3 Te 2.84-3.07
Te (0.5000, 0.5000, 0.5000)  10 Ti 2.84-3.07

arrangement one comes first in stability; the runner-up is 0.061 eV/atom higher.